(1)
{
  "formula": "TaCu2Ni",
  "functional": "SCAN",
  "state": "single point on PBEsol structure",
  "lattice_angstrom": [[8.5561, 0.0000, 0.0000], [0.0000, 2.6690, 0.0000], [-0.8778, 0.0000, 4.4613]],
  "species": ["Ta", "Ta", "Cu", "Cu", "Cu", "Cu", "Ni", "Ni"],
  "fractional_positions": [[0.0000, 0.0000, 0.0000], [0.5000, 0.5000, 0.0000], [0.0080, 0.5000, 0.5057], [0.2601, 0.5000, 0.2906], [0.5080, 0.0000, 0.5057], [0.7601, 0.0000, 0.2906], [0.2459, 0.0000, 0.7721], [0.7459, 0.5000, 0.7721]],
  "delta_e_f_ev_per_atom": 0.0484,
  "dft_energy_ev_per_atom": -28.240,
  "dos_at_fermi_per_ev_atom": 0.449
}

(2)
{
  "formula": "TbCuNi4",
  "functional": "SCAN",
  "state": "single point on PBEsol structure",
  "lattice_angstrom": [[4.8272, 0.0000, 0.0000], [-2.4136, 4.1805, 0.0000], [0.0000, 0.0000, 3.9160]],
  "species": ["Tb", "Cu", "Ni", "Ni", "Ni", "Ni"],
  "fractional_positions": [[0.0000, 0.0000, 0.0000], [0.6667, 0.3333, 0.0000], [0.0016, 0.5008, 0.5000], [0.3333, 0.6667, 0.0000], [0.4992, 0.5008, 0.5000], [0.4992, 0.9984, 0.5000]],
  "delta_e_f_ev_per_atom": -0.2944,
  "dft_energy_ev_per_atom": -21.404,
  "dos_at_fermi_per_ev_atom": 0.701
}

(3)
{
  "formula": "TbCu2Ni3",
  "functional": "SCAN",
  "state": "single point on PBEsol structure",
  "lattice_angstrom": [[4.8780, 0.0000, 0.0000], [-2.4390, 4.2245, 0.0000], [0.0000, 0.0000, 3.8974]],
  "species": ["Tb", "Cu", "Cu", "Ni", "Ni", "Ni"],
  "fractional_positions": [[0.0000, 0.0000, 0.0000], [0.3333, 0.6667, 0.0000], [0.6667, 0.3333, 0.0000], [0.0000, 0.5000, 0.5000], [0.5000, 0.0000, 0.5000], [0.5000, 0.5000, 0.5000]],
  "delta_e_f_ev_per_atom": -0.2715,
  "dft_energy_ev_per_atom": -21.218,
  "dos_at_fermi_per_ev_atom": 0.719
}

(4)
{
  "formula": "CuTcNi2",
  "functional": "SCAN",
  "state": "single point on PBEsol structure",
  "lattice_angstrom": [[8.4015, 0.0000, 0.0000], [0.0000, 2.5063, 0.0000], [-0.7061, 0.0000, 4.3667]],
  "species": ["Cu", "Cu", "Tc", "Tc", "Ni", "Ni", "Ni", "Ni"],
  "fractional_positions": [[0.0000, 0.0000, 0.0000], [0.5000, 0.5000, 0.0000], [0.2560, 0.5000, 0.2858], [0.7560, 0.0000, 0.2858], [0.0048, 0.5000, 0.5060], [0.2500, 0.0000, 0.7790], [0.5048, 0.0000, 0.5060], [0.7500, 0.5000, 0.7790]],
  "delta_e_f_ev_per_atom": 0.1199,
  "dft_energy_ev_per_atom": -20.532,
  "dos_at_fermi_per_ev_atom": 0.848,
  "polymorph_energy_mev_per_atom": 93
}

(5)
{
  "formula": "CuTcNi2",
  "functional": "SCAN",
  "state": "single point on PBEsol structure",
  "lattice_angstrom": [[2.5610, 0.0000, 0.0000], [0.0000, 2.5610, 0.0000], [0.0000, 0.0000, 6.9828]],
  "species": ["Cu", "Tc", "Ni", "Ni"],
  "fractional_positions": [[0.0000, 0.0000, 0.0000], [0.0000, 0.0000, 0.5000], [0.5000, 0.5000, 0.2434], [0.5000, 0.5000, 0.7566]],
  "delta_e_f_ev_per_atom": 0.0265,
  "dft_energy_ev_per_atom": -20.625,
  "dos_at_fermi_per_ev_atom": 0.784,
  "polymorph_energy_mev_per_atom": 0
}

(6)
{
  "formula": "CuTcNi",
  "functional": "SCAN",
  "state": "single point on PBEsol structure",
  "lattice_angstrom": [[5.4300, 0.0000, 0.0000], [0.0000, 5.4300, 0.0000], [0.0000, 0.0000, 5.4300]],
  "species": ["Cu", "Cu", "Cu", "Cu", "Tc", "Tc", "Tc", "Tc", "Ni", "Ni", "Ni", "Ni"],
  "fractional_positions": [[0.0000, 0.0000, 0.0000], [0.0000, 0.5000, 0.5000], [0.5000, 0.0000, 0.5000], [0.5000, 0.5000, 0.0000], [0.0000, 0.0000, 0.5000], [0.0000, 0.5000, 0.0000], [0.5000, 0.0000, 0.0000], [0.5000, 0.5000, 0.5000], [0.2500, 0.2500, 0.2500], [0.2500, 0.7500, 0.7500], [0.7500, 0.2500, 0.7500], [0.7500, 0.7500, 0.2500]],
  "delta_e_f_ev_per_atom": 0.4974,
  "dft_energy_ev_per_atom": -21.647,
  "dos_at_fermi_per_ev_atom": 0.532
}

(7)
{
  "formula": "Cu2NiTe",
  "functional": "SCAN",
  "state": "single point on PBEsol structure",
  "lattice_angstrom": [[3.8358, 0.0000, 0.0000], [-0.0146, 3.8367, 0.0000], [-1.8965, -1.9175, 3.7549]],
  "species": ["Cu", "Cu", "Ni", "Te"],
  "fractional_positions": [[0.0000, 0.0000, 0.0000], [0.2491, 0.7501, 0.4999], [0.7499, 0.2502, 0.5000], [0.5008, 0.4997, 0.0001]],
  "dft_energy_ev_per_atom": -20.812,
  "formation_energy_uncorrected_mev_per_atom": 143,
  "dos_at_fermi_per_ev_atom": 0.453
}

(8)
{
  "formula": "CuNiTe",
  "functional": "SCAN",
  "state": "single point on PBEsol structure",
  "lattice_angstrom": [[3.8282, 0.0000, 0.0000], [-1.9141, 3.3153, 0.0000], [0.0000, 0.0000, 3.8273]],
  "species": ["Cu", "Ni", "Te"],
  "fractional_positions": [[0.0000, 0.0000, 0.0000], [0.6667, 0.3333, 0.7377], [0.3333, 0.6667, 0.4164]],
  "dft_energy_ev_per_atom": -22.646,
  "formation_energy_uncorrected_mev_per_atom": 229,
  "dos_at_fermi_per_ev_atom": 0.668
}

(9)
{
  "formula": "CuNiTe2",
  "functional": "SCAN",
  "state": "single point on PBEsol structure",
  "lattice_angstrom": [[3.7218, 0.0000, 0.0000], [-1.8609, 3.2231, 0.0000], [0.0000, 0.0000, 22.8592]],
  "species": ["Cu", "Cu", "Cu", "Ni", "Ni", "Ni", "Te", "Te", "Te", "Te", "Te", "Te"],
  "fractional_positions": [[0.0000, 0.0000, 0.0000], [0.3333, 0.6667, 0.6667], [0.6667, 0.3333, 0.3333], [0.0000, 0.0000, 0.5000], [0.3333, 0.6667, 0.1667], [0.6667, 0.3333, 0.8333], [0.0000, 0.0000, 0.1065], [0.0000, 0.0000, 0.8935], [0.3333, 0.6667, 0.5602], [0.3333, 0.6667, 0.7732], [0.6667, 0.3333, 0.2268], [0.6667, 0.3333, 0.4398]],
  "dft_energy_ev_per_atom": -26.406,
  "formation_energy_uncorrected_mev_per_atom": 62,
  "dos_at_fermi_per_ev_atom": 0.736
}

(10)
{
  "formula": "CuNiTe",
  "functional": "SCAN",
  "state": "single point on PBEsol structure",
  "lattice_angstrom": [[5.7783, 0.0000, 0.0000], [0.0000, 5.7783, 0.0000], [0.0000, 0.0000, 5.7783]],
  "species": ["Cu", "Cu", "Cu", "Cu", "Ni", "Ni", "Ni", "Ni", "Te", "Te", "Te", "Te"],
  "fractional_positions": [[0.0000, 0.0000, 0.0000], [0.0000, 0.5000, 0.5000], [0.5000, 0.0000, 0.5000], [0.5000, 0.5000, 0.0000], [0.2500, 0.2500, 0.7500], [0.2500, 0.7500, 0.2500], [0.7500, 0.2500, 0.2500], [0.7500, 0.7500, 0.7500], [0.0000, 0.0000, 0.5000], [0.0000, 0.5000, 0.0000], [0.5000, 0.0000, 0.0000], [0.5000, 0.5000, 0.5000]],
  "dft_energy_ev_per_atom": -22.979,
  "formation_energy_uncorrected_mev_per_atom": -104,
  "dos_at_fermi_per_ev_atom": 0.498
}

(11)
{
  "formula": "Ti8Cu3Ni",
  "functional": "SCAN",
  "state": "single point on PBEsol structure",
  "lattice_angstrom": [[2.9142, 0.0000, 0.0000], [0.0000, 2.9142, 0.0000], [0.0000, 0.0000, 20.6855]],
  "species": ["Ti", "Ti", "Ti", "Ti", "Ti", "Ti", "Ti", "Ti", "Cu", "Cu", "Cu", "Ni"],
  "fractional_positions": [[0.0000, 0.0000, 0.0750], [0.0000, 0.0000, 0.4179], [0.0000, 0.0000, 0.5821], [0.0000, 0.0000, 0.9250], [0.5000, 0.5000, 0.1641], [0.5000, 0.5000, 0.3282], [0.5000, 0.5000, 0.6718], [0.5000, 0.5000, 0.8359], [0.0000, 0.0000, 0.2459], [0.0000, 0.0000, 0.7541], [0.5000, 0.5000, 0.5000], [0.5000, 0.5000, 0.0000]],
  "delta_e_f_ev_per_atom": -0.1893,
  "dft_energy_ev_per_atom": -16.023,
  "dos_at_fermi_per_ev_atom": 0.501
}

(12)
{
  "formula": "Ti2CuNi2",
  "functional": "SCAN",
  "state": "single point on PBEsol structure",
  "lattice_angstrom": [[6.6277, 0.0000, 0.0000], [0.0000, 6.6277, 0.0000], [0.0000, 0.0000, 2.9643]],
  "species": ["Ti", "Ti", "Ti", "Ti", "Cu", "Cu", "Ni", "Ni", "Ni", "Ni"],
  "fractional_positions": [[0.1726, 0.3274, 0.0000], [0.3274, 0.8274, 0.0000], [0.6726, 0.1726, 0.0000], [0.8274, 0.6726, 0.0000], [0.0000, 0.0000, 0.5000], [0.5000, 0.5000, 0.5000], [0.1289, 0.6289, 0.5000], [0.3711, 0.1289, 0.5000], [0.6289, 0.8711, 0.5000], [0.8711, 0.3711, 0.5000]],
  "delta_e_f_ev_per_atom": -0.3398,
  "dft_energy_ev_per_atom": -16.261,
  "dos_at_fermi_per_ev_atom": 0.764
}

(13)
{
  "formula": "TlCuNi",
  "functional": "SCAN",
  "state": "single point on PBEsol structure",
  "lattice_angstrom": [[5.8280, 0.0000, 0.0000], [0.0000, 5.8280, 0.0000], [0.0000, 0.0000, 5.8280]],
  "species": ["Tl", "Tl", "Tl", "Tl", "Cu", "Cu", "Cu", "Cu", "Ni", "Ni", "Ni", "Ni"],
  "fractional_positions": [[0.0000, 0.0000, 0.0000], [0.0000, 0.5000, 0.5000], [0.5000, 0.0000, 0.5000], [0.5000, 0.5000, 0.0000], [0.2500, 0.2500, 0.7500], [0.2500, 0.7500, 0.2500], [0.7500, 0.2500, 0.2500], [0.7500, 0.7500, 0.7500], [0.0000, 0.0000, 0.5000], [0.0000, 0.5000, 0.0000], [0.5000, 0.0000, 0.0000], [0.5000, 0.5000, 0.5000]],
  "delta_e_f_ev_per_atom": 0.4818,
  "dft_energy_ev_per_atom": -34.095,
  "dos_at_fermi_per_ev_atom": 0.645
}

(14)
{
  "formula": "TlCu2Ni",
  "functional": "SCAN",
  "state": "single point on PBEsol structure",
  "lattice_angstrom": [[2.9147, 0.0000, 0.0000], [0.0000, 3.2204, 0.0000], [0.0000, 0.0000, 5.8847]],
  "species": ["Tl", "Cu", "Cu", "Ni"],
  "fractional_positions": [[0.0000, 0.0000, 0.0000], [0.0000, 0.0000, 0.5106], [0.5000, 0.5000, 0.3038], [0.5000, 0.5000, 0.7243]],
  "delta_e_f_ev_per_atom": 0.2910,
  "dft_energy_ev_per_atom": -29.442,
  "dos_at_fermi_per_ev_atom": 0.493
}

(15)
{
  "formula": "CuNi6W",
  "functional": "SCAN",
  "state": "single point on PBEsol structure",
  "lattice_angstrom": [[3.5308, -4.9957, 0.0000], [3.5308, 4.9957, 0.0000], [0.0000, 0.0000, 10.0089]],
  "species": ["Cu", "Cu", "Cu", "Cu", "Ni", "Ni", "Ni", "Ni", "Ni", "Ni", "Ni", "Ni", "Ni", "Ni", "Ni", "Ni", "Ni", "Ni", "Ni", "Ni", "Ni", "Ni", "Ni", "Ni", "Ni", "Ni", "Ni", "Ni", "W", "W", "W", "W"],
  "fractional_positions": [[0.0000, 0.0000, 0.2461], [0.0000, 0.0000, 0.7539], [0.2500, 0.7500, 0.0000], [0.7500, 0.2500, 0.0000], [0.0000, 0.0000, 0.0000], [0.0000, 0.0000, 0.5000], [0.1241, 0.3732, 0.3750], [0.1241, 0.3732, 0.6250], [0.1248, 0.3753, 0.1250], [0.1248, 0.3753, 0.8750], [0.2498, 0.7502, 0.2503], [0.2498, 0.7502, 0.7497], [0.3732, 0.1241, 0.3750], [0.3732, 0.1241, 0.6250], [0.3753, 0.1248, 0.1250], [0.3753, 0.1248, 0.8750], [0.5000, 0.5000, 0.0000], [0.5000, 0.5000, 0.5000], [0.6247, 0.8752, 0.1250], [0.6247, 0.8752, 0.8750], [0.6268, 0.8759, 0.3750], [0.6268, 0.8759, 0.6250], [0.7502, 0.2498, 0.2503], [0.7502, 0.2498, 0.7497], [0.8752, 0.6247, 0.1250], [0.8752, 0.6247, 0.8750], [0.8759, 0.6268, 0.3750], [0.8759, 0.6268, 0.6250], [0.2538, 0.7462, 0.5000], [0.5000, 0.5000, 0.2415], [0.5000, 0.5000, 0.7585], [0.7462, 0.2538, 0.5000]],
  "delta_e_f_ev_per_atom": -0.0019,
  "dft_energy_ev_per_atom": -22.743,
  "dos_at_fermi_per_ev_atom": 0.560
}

(16)
{
  "formula": "Y2Cu5Ni12",
  "functional": "SCAN",
  "state": "single point on PBEsol structure",
  "lattice_angstrom": [[8.2065, 0.0000, 0.0000], [-4.1032, 7.1070, 0.0000], [0.0000, 0.0000, 7.9692]],
  "species": ["Y", "Y", "Y", "Y", "Cu", "Cu", "Cu", "Cu", "Cu", "Cu", "Cu", "Cu", "Cu", "Cu", "Ni", "Ni", "Ni", "Ni", "Ni", "Ni", "Ni", "Ni", "Ni", "Ni", "Ni", "Ni", "Ni", "Ni", "Ni", "Ni", "Ni", "Ni", "Ni", "Ni", "Ni", "Ni", "Ni", "Ni"],
  "fractional_positions": [[0.0000, 0.0000, 0.2500], [0.0000, 0.0000, 0.7500], [0.3333, 0.6667, 0.2500], [0.6667, 0.3333, 0.7500], [0.0000, 0.5000, 0.0000], [0.0000, 0.5000, 0.5000], [0.3333, 0.6667, 0.6045], [0.3333, 0.6667, 0.8955], [0.5000, 0.0000, 0.0000], [0.5000, 0.0000, 0.5000], [0.5000, 0.5000, 0.0000], [0.5000, 0.5000, 0.5000], [0.6667, 0.3333, 0.1045], [0.6667, 0.3333, 0.3955], [0.0403, 0.3659, 0.7500], [0.0403, 0.6744, 0.7500], [0.1645, 0.3289, 0.0205], [0.1645, 0.3289, 0.4795], [0.1645, 0.8355, 0.0205], [0.1645, 0.8355, 0.4795], [0.3256, 0.3659, 0.7500], [0.3256, 0.9597, 0.7500], [0.3289, 0.1645, 0.5205], [0.3289, 0.1645, 0.9795], [0.3659, 0.0403, 0.2500], [0.3659, 0.3256, 0.2500], [0.6341, 0.6744, 0.7500], [0.6341, 0.9597, 0.7500], [0.6711, 0.8355, 0.0205], [0.6711, 0.8355, 0.4795], [0.6744, 0.0403, 0.2500], [0.6744, 0.6341, 0.2500], [0.8355, 0.1645, 0.5205], [0.8355, 0.1645, 0.9795], [0.8355, 0.6711, 0.5205], [0.8355, 0.6711, 0.9795], [0.9597, 0.3256, 0.2500], [0.9597, 0.6341, 0.2500]],
  "delta_e_f_ev_per_atom": -0.1433,
  "dft_energy_ev_per_atom": -17.289,
  "dos_at_fermi_per_ev_atom": 0.960
}

(17)
{
  "formula": "Y2CuNi2",
  "functional": "SCAN",
  "state": "single point on PBEsol structure",
  "lattice_angstrom": [[6.8942, 0.0000, 0.0000], [0.0000, 6.8942, 0.0000], [0.0000, 0.0000, 3.6987]],
  "species": ["Y", "Y", "Y", "Y", "Cu", "Cu", "Ni", "Ni", "Ni", "Ni"],
  "fractional_positions": [[0.1792, 0.3208, 0.0000], [0.3208, 0.8208, 0.0000], [0.6792, 0.1792, 0.0000], [0.8208, 0.6792, 0.0000], [0.0000, 0.0000, 0.5000], [0.5000, 0.5000, 0.5000], [0.1222, 0.6222, 0.5000], [0.3778, 0.1222, 0.5000], [0.6222, 0.8778, 0.5000], [0.8778, 0.3778, 0.5000]],
  "delta_e_f_ev_per_atom": -0.3067,
  "dft_energy_ev_per_atom": -20.953,
  "dos_at_fermi_per_ev_atom": 0.664
}

(18)
{
  "formula": "Y2CuNi",
  "functional": "SCAN",
  "state": "single point on PBEsol structure",
  "lattice_angstrom": [[4.2879, 0.0000, 0.0000], [0.0000, 3.6918, 0.0000], [0.0000, 0.0000, 10.0727]],
  "species": ["Y", "Y", "Y", "Y", "Cu", "Cu", "Ni", "Ni"],
  "fractional_positions": [[0.0000, 0.0000, 0.0000], [0.0000, 0.5000, 0.5000], [0.5000, 0.0000, 0.2792], [0.5000, 0.5000, 0.7792], [0.0000, 0.0000, 0.7098], [0.0000, 0.5000, 0.2098], [0.5000, 0.0000, 0.5687], [0.5000, 0.5000, 0.0687]],
  "delta_e_f_ev_per_atom": -0.3804,
  "dft_energy_ev_per_atom": -22.145,
  "dos_at_fermi_per_ev_atom": 0.619
}

(19)
{
  "formula": "YCu2Ni2",
  "functional": "SCAN",
  "state": "single point on PBEsol structure",
  "lattice_angstrom": [[3.6927, 0.0000, 0.0000], [0.0000, 3.6927, 0.0000], [0.0000, 0.0000, 10.5890]],
  "species": ["Y", "Y", "Cu", "Cu", "Cu", "Cu", "Ni", "Ni", "Ni", "Ni"],
  "fractional_positions": [[0.0000, 0.0000, 0.0000], [0.5000, 0.5000, 0.5000], [0.0000, 0.5000, 0.2500], [0.0000, 0.5000, 0.7500], [0.5000, 0.0000, 0.2500], [0.5000, 0.0000, 0.7500], [0.0000, 0.0000, 0.3931], [0.0000, 0.0000, 0.6069], [0.5000, 0.5000, 0.1069], [0.5000, 0.5000, 0.8931]],
  "delta_e_f_ev_per_atom": -0.1865,
  "dft_energy_ev_per_atom": -18.304,
  "dos_at_fermi_per_ev_atom": 0.421
}

(20)
{
  "formula": "YCuNi2",
  "functional": "SCAN",
  "state": "single point on PBEsol structure",
  "lattice_angstrom": [[3.7655, 0.0000, 0.0000], [0.0000, 3.7655, 0.0000], [0.0000, 0.0000, 7.9455]],
  "species": ["Y", "Y", "Cu", "Cu", "Ni", "Ni", "Ni", "Ni"],
  "fractional_positions": [[0.0000, 0.0000, 0.0000], [0.5000, 0.5000, 0.5000], [0.0000, 0.5000, 0.2500], [0.5000, 0.0000, 0.7500], [0.0000, 0.0000, 0.5000], [0.0000, 0.5000, 0.7500], [0.5000, 0.0000, 0.2500], [0.5000, 0.5000, 0.0000]],
  "delta_e_f_ev_per_atom": -0.1142,
  "dft_energy_ev_per_atom": -18.961,
  "dos_at_fermi_per_ev_atom": 0.344
}